Entry from Alexandria: a geometry-optimized PrNdErZr structure (GGA-PBE).

abc: 7.8965 7.8965 7.8965
angles: 90.00 90.00 90.00
Space group F-43m (No. 216)
Unique sites:
Pr: 0.0000 0.0000 0.0000 x4
Nd: 0.2500 0.2500 0.7500 x4
Er: 0.2500 0.2500 0.2500 x4
Zr: 0.0000 0.0000 0.5000 x4

Output
Crystal system: cubic
Energy of formation from the pure elements in eV/atom: 0.25
Total energy in eV per atom: -5.410

---

Entry from Alexandria: a geometry-optimized NdEr2Pt structure (GGA-PBE).

abc: 3.8438 3.8438 28.3201
angles: 90.00 90.00 120.00
Space group R-3m (No. 166, hexagonal axes)
Unique sites:
Nd: 0.0000 0.0000 0.0000 x3
Er: 0.0000 0.0000 0.2261 x6
Pt: 0.0000 0.0000 0.5000 x3

Output
Crystal system: trigonal
Energy of formation from the pure elements in eV/atom: -0.53
Total energy in eV per atom: -5.516

---

Entry from Alexandria: a geometry-optimized NdEr3Pt2 structure (GGA-PBE).

abc: 4.7762 8.8158 7.1631
angles: 90.00 90.00 90.00
Space group Pmc2_1 (No. 26)
Unique sites:
Nd: 0.0000 0.0800 0.0000 x2
Er: 0.0000 0.3342 0.6350 x2
Er: 0.5000 0.1760 0.3484 x2
Er: 0.5000 0.4213 0.9803 x2
Pt: 0.0000 0.3477 0.2378 x2
Pt: 0.5000 0.1639 0.7435 x2

Output
Crystal system: orthorhombic
Energy of formation from the pure elements in eV/atom: -0.95
Total energy in eV per atom: -6.037

---

Entry from Alexandria: a geometry-optimized Nd2Er3Pt4 structure (GGA-PBE).

abc: 7.2190 15.8356 7.7546
angles: 90.00 90.00 90.00
Space group Cmce (No. 64)
Unique sites:
Nd: 0.0000 0.0994 0.0985 x8
Er: 0.0000 0.0000 0.5000 x4
Er: 0.2500 0.2135 0.7500 x8
Pt: 0.0000 0.1911 0.4513 x8
Pt: 0.2500 0.0377 0.7500 x8

Output
Crystal system: orthorhombic
Energy of formation from the pure elements in eV/atom: -1.02
Total energy in eV per atom: -6.290

---

Entry from Alexandria: a geometry-optimized NdErPt2 structure (GGA-PBE).

abc: 4.0635 4.0635 20.9418
angles: 90.00 90.00 120.00
Space group R3m (No. 160, hexagonal axes)
Unique sites:
Nd: 0.0000 0.0000 0.0000 x3
Er: 0.0000 0.0000 0.1720 x3
Pt: 0.0000 0.0000 0.5821 x3
Pt: 0.0000 0.0000 0.7568 x3

Output
Crystal system: trigonal
Energy of formation from the pure elements in eV/atom: -1.04
Total energy in eV per atom: -6.391

---

Entry from Alexandria: a geometry-optimized Nd2Er3Pt2 structure (GGA-PBE).

abc: 12.5034 3.7592 9.1075
angles: 90.00 117.54 90.00
Space group C2/m (No. 12)
Unique sites:
Nd: 0.1600 0.0000 0.3118 x4
Er: 0.0000 0.5000 0.5000 x2
Er: 0.1168 0.5000 0.9368 x4
Pt: 0.1667 0.0000 0.7420 x4

Output
Crystal system: monoclinic
Energy of formation from the pure elements in eV/atom: -0.79
Total energy in eV per atom: -5.831

---

Entry from Alexandria: a geometry-optimized NdEr3Pt structure (GGA-PBE).

abc: 5.4464 5.4464 5.4464
angles: 90.00 90.00 90.00
Space group Pm-3m (No. 221)
Unique sites:
Nd: 0.0000 0.0000 0.0000 x1
Er: 0.0000 0.5000 0.5000 x3
Pt: 0.5000 0.5000 0.5000 x1

Output
Crystal system: cubic
Energy of formation from the pure elements in eV/atom: -0.40
Total energy in eV per atom: -5.300

---

Entry from Alexandria: a geometry-optimized NdEr4Pt4 structure (GGA-PBE).

abc: 9.0902 9.0902 5.6812
angles: 90.00 90.00 90.00
Space group P4_2/n (No. 86, origin choice 2)
Unique sites:
Nd: 0.2500 0.2500 0.2500 x2
Er: 0.0843 0.6490 0.1671 x8
Pt: 0.0424 0.6207 0.6684 x8

Output
Crystal system: tetragonal
Energy of formation from the pure elements in eV/atom: -1.06
Total energy in eV per atom: -6.305

---

Entry from Alexandria: a geometry-optimized NdEr2Pt structure (GGA-PBE).

abc: 3.8071 9.1118 6.5606
angles: 90.00 106.77 90.00
Space group P2_1/m (No. 11)
Unique sites:
Nd: 0.0592 0.2500 0.1197 x2
Er: 0.3603 0.0611 0.7200 x4
Pt: 0.2385 0.7500 0.4781 x2

Output
Crystal system: monoclinic
Energy of formation from the pure elements in eV/atom: -0.68
Total energy in eV per atom: -5.659

---

Entry from Alexandria: a geometry-optimized Nd2Er3Pt4 structure (GGA-PBE).

abc: 7.6145 7.6525 7.7936
angles: 90.00 109.50 90.00
Space group P2_1/c (No. 14)
Unique sites:
Nd: 0.1960 0.1768 0.0800 x4
Er: 0.2455 0.6635 0.2482 x4
Er: 0.5000 0.0000 0.5000 x2
Pt: 0.0910 0.5394 0.8620 x4
Pt: 0.4984 0.1347 0.8712 x4

Output
Crystal system: monoclinic
Energy of formation from the pure elements in eV/atom: -1.17
Total energy in eV per atom: -6.436

---

Entry from Alexandria: a geometry-optimized NdEr2Pt structure (GGA-PBE).

abc: 3.5398 3.5398 8.6253
angles: 90.00 90.00 90.00
Space group P4/mmm (No. 123)
Unique sites:
Nd: 0.0000 0.0000 0.0000 x1
Er: 0.5000 0.5000 0.3116 x2
Pt: 0.0000 0.0000 0.5000 x1

Output
Crystal system: tetragonal
Energy of formation from the pure elements in eV/atom: -0.63
Total energy in eV per atom: -5.616

---

Entry from Alexandria: a geometry-optimized Nd3Er4Pt4 structure (GGA-PBE).

abc: 4.5964 7.8005 15.5409
angles: 90.00 90.00 90.00
Space group Immm (No. 71)
Unique sites:
Nd: 0.0000 0.0000 0.0000 x2
Nd: 0.0000 0.5000 0.1022 x4
Er: 0.0000 0.2897 0.3281 x8
Pt: 0.0000 0.0000 0.2091 x4
Pt: 0.0000 0.1879 0.5000 x4

Output
Crystal system: orthorhombic
Energy of formation from the pure elements in eV/atom: -0.91
Total energy in eV per atom: -6.067